A) Below is a relaxed UPaMn2 crystal, with properties calculated at the PBE-GGA level.

Cell lengths 3.157, 3.157, 6.933 Å; angles 90.00, 90.00, 90.00 degrees
Positions (direct):
U1 0.000 0.000 0.000
Pa1 0.000 0.000 0.500
Mn1 0.500 0.500 0.195
Mn2 0.500 0.500 0.805

Calculated values
The value obtained for the total magnetic moment is 0.00 μB/cell. The density of states at the Fermi level is 4.78 states/eV/cell. The calculation puts the volume at 17.3 Å³/atom.

B) Below is a relaxed UPaMn2 crystal, with properties calculated at the PBE-GGA level.

Cell lengths 5.144, 5.144, 5.144 Å; angles 49.31, 49.31, 49.31 degrees
Positions (direct):
U1 0.000 0.000 0.000
Pa1 0.500 0.500 0.500
Mn1 0.227 0.227 0.227
Mn2 0.773 0.773 0.773

Calculated values
The value obtained for the total magnetic moment is 0.15 μB/cell. The density of states at the Fermi level is 6.55 states/eV/cell. The calculation puts the volume at 18.0 Å³/atom.

Stability ranking, top entry: A); the second entry is 43 meV/atom less favorable.

A) Below is a relaxed Pa2MnV crystal, with properties calculated at the PBE-GGA level.

Cell lengths 4.757, 4.757, 4.757 Å; angles 60.00, 60.00, 60.00 degrees
Positions (direct):
Pa1 0.250 0.250 0.250
Pa2 0.750 0.750 0.750
Mn1 0.000 0.000 0.000
V1 0.500 0.500 0.500

Calculated values
The value obtained for the total magnetic moment is 0.44 μB/cell. The density of states at the Fermi level is 8.36 states/eV/cell. The calculation puts the volume at 19.0 Å³/atom.

B) Below is a relaxed Pa2MnV crystal, with properties calculated at the PBE-GGA level.

Cell lengths 3.459, 3.459, 6.511 Å; angles 90.00, 90.00, 90.00 degrees
Positions (direct):
Pa1 0.000 0.000 0.225
Pa2 0.000 0.000 0.775
Mn1 0.500 0.500 0.000
V1 0.500 0.500 0.500

Calculated values
The value obtained for the total magnetic moment is 2.34 μB/cell. The density of states at the Fermi level is 6.94 states/eV/cell. The calculation puts the volume at 19.5 Å³/atom.

Stability ranking, top entry: B); the second entry is 40 meV/atom less favorable.